Below is a relaxed Co2SbTe crystal, with properties calculated at the PBE-GGA level.

Computed properties:
Excess energy over the best structure of this formula in the dataset = 0.0000 eV/atom
Space-group type = P-6m2
Uncorrected formation energy = -2.62 kcal/mol of atoms
D(E_F) = 3.06 states/eV/f.u.
Total magnetic moment = 0.00 Bohr magnetons per cell
Energy = -5.4825 eV per atom

Lattice parameters (Å, degrees): 3.890 3.890 5.229 90.00 90.00 120.00
Element x y z (fractional)
Co (0.000, 0.000, 0.751)
Co (0.000, 0.000, 0.249)
Sb (0.667, 0.333, 0.500)
Te (0.333, 0.667, 0.000)

***

Below is a relaxed Co2SbTe crystal, with properties calculated at the PBE-GGA level.

Computed properties:
Excess energy over the best structure of this formula in the dataset = 0.9808 eV/atom
Space-group type = F-43m
Uncorrected formation energy = 20.00 kcal/mol of atoms
D(E_F) = 8.88 states/eV/f.u.
Total magnetic moment = 2.63 Bohr magnetons per cell
Energy = -4.5017 eV per atom

Lattice parameters (Å, degrees): 4.735 4.735 4.735 60.00 60.00 60.00
Element x y z (fractional)
Sb (0.500, 0.500, 0.500)
Co (0.000, 0.000, 0.000)
Co (0.250, 0.250, 0.250)
Te (0.750, 0.750, 0.750)

***

Below is a relaxed Co4SbTe crystal, with properties calculated at the PBE-GGA level.

Computed properties:
Space-group type = F-43m
Uncorrected formation energy = 9.24 kcal/mol of atoms
D(E_F) = 9.25 states/eV/f.u.
Total magnetic moment = 5.89 Bohr magnetons per cell
Energy = -5.5472 eV per atom

Lattice parameters (Å, degrees): 5.022 5.022 5.022 60.00 60.00 60.00
Element x y z (fractional)
Co (0.375, 0.375, 0.375)
Co (0.375, 0.375, 0.874)
Co (0.375, 0.874, 0.375)
Co (0.874, 0.375, 0.375)
Te (0.000, 0.000, 0.000)
Sb (0.750, 0.750, 0.750)